(1)
# Mn2Ru2Au

A geometry-optimized Mn2Ru2Au structure (GGA-PBE, Alexandria).

## Properties
V = 13.94 Å³ per atom
formation energy from the elements = 273.5 meV per atom
total moment = 0.00 Bohr magnetons per cell
SG = P4/mbm
uncorrected energy = -7.760 eV per atom

The structure in CIF format:
```
data_Mn2Ru2Au
_symmetry_space_group_name_H-M 'P 1'
_symmetry_Int_Tables_number 1
_symmetry_space_group_name_Hall 'P 1'
_cell_length_a 7.238
_cell_length_b 7.238
_cell_length_c 2.661
_cell_angle_alpha 90.00
_cell_angle_beta 90.00
_cell_angle_gamma 90.00
loop_
_atom_site_label
_atom_site_fract_x
_atom_site_fract_y
_atom_site_fract_z
_atom_site_occupancy
Mn1 0.162 0.338 0.000 1
Mn2 0.338 0.838 0.000 1
Mn3 0.662 0.162 0.000 1
Mn4 0.838 0.662 0.000 1
Ru1 0.127 0.627 0.500 1
Ru2 0.373 0.127 0.500 1
Ru3 0.627 0.873 0.500 1
Ru4 0.873 0.373 0.500 1
Au1 0.000 0.000 0.500 1
Au2 0.500 0.500 0.500 1
```

(2)
# GaSi3I

A geometry-optimized GaSi3I structure (GGA-PBE, Alexandria).

## Properties
V = 23.70 Å³ per atom
total moment = 0.00 Bohr magnetons per cell
SG = Pm-3m
formation energy without anion corrections = 0.98 eV per atom
uncorrected energy = -3.186 eV per atom

The structure in CIF format:
```
data_GaSi3I
_symmetry_space_group_name_H-M 'P 1'
_symmetry_Int_Tables_number 1
_symmetry_space_group_name_Hall 'P 1'
_cell_length_a 4.912
_cell_length_b 4.912
_cell_length_c 4.912
_cell_angle_alpha 90.00
_cell_angle_beta 90.00
_cell_angle_gamma 90.00
loop_
_atom_site_label
_atom_site_fract_x
_atom_site_fract_y
_atom_site_fract_z
_atom_site_occupancy
Ga1 0.000 0.000 0.000 1
Si1 0.000 0.000 0.500 1
Si2 0.000 0.500 0.000 1
Si3 0.500 0.000 0.000 1
I1 0.500 0.500 0.500 1
```

(3)
# Na2HoPaBi4

A geometry-optimized Na2HoPaBi4 structure (GGA-PBE, Alexandria).

## Properties
V = 32.51 Å³ per atom
formation energy from the elements = -261.4 meV per atom
total moment = 0.00 Bohr magnetons per cell
SG = P2/m
uncorrected energy = -4.291 eV per atom

The structure in CIF format:
```
data_Na2HoPaBi4
_symmetry_space_group_name_H-M 'P 1'
_symmetry_Int_Tables_number 1
_symmetry_space_group_name_Hall 'P 1'
_cell_length_a 7.404
_cell_length_b 5.109
_cell_length_c 7.745
_cell_angle_alpha 90.00
_cell_angle_beta 117.41
_cell_angle_gamma 90.00
loop_
_atom_site_label
_atom_site_fract_x
_atom_site_fract_y
_atom_site_fract_z
_atom_site_occupancy
Na1 0.000 0.000 0.000 1
Na2 0.500 0.500 0.000 1
Ho1 0.000 0.000 0.500 1
Pa1 0.500 0.500 0.500 1
Bi1 0.014 0.500 0.268 1
Bi2 0.489 0.000 0.735 1
Bi3 0.511 0.000 0.265 1
Bi4 0.986 0.500 0.732 1
```